Entry from Alexandria: an optimized crystal structure of LiZn3Ag (GGA-PBE).

Unit cell a=5.0842 b=5.0842 c=6.9800 alpha=105.51 beta=105.51 gamma=63.31
Closest atoms and distances in Å follow each position.
Element x y z (fractional)
Li1 0.2492 0.7508 0.0000  2 Zn 2.56, 2 Li 2.66-2.68
Li2 0.7508 0.2492 0.0000  2 Zn 2.56, 2 Li 2.66-2.68
Zn1 0.1543 0.6536 0.6137  1 Li 2.56, 6 Zn 2.63-2.78, 2 Ag 2.80
Zn2 0.3043 0.3043 0.2189  3 Ag 2.67-2.84, 6 Zn 2.77-2.94, 4 Li 2.92-2.94
Zn3 0.3464 0.8457 0.3863  1 Li 2.56, 6 Zn 2.63-2.78, 2 Ag 2.80
Zn4 0.6536 0.1543 0.6137  1 Li 2.56, 6 Zn 2.63-2.78, 2 Ag 2.80
Zn5 0.6957 0.6957 0.7811  3 Ag 2.67-2.84, 6 Zn 2.77-2.94, 4 Li 2.92-2.94
Zn6 0.8457 0.3464 0.3863  1 Li 2.56, 6 Zn 2.63-2.78, 2 Ag 2.80
Ag1 0.1980 0.1980 0.7901  7 Zn 2.67-2.84, 4 Li 2.89-2.90
Ag2 0.8020 0.8020 0.2099  7 Zn 2.67-2.84, 4 Li 2.89-2.90

size of the total moment: 0.00 μB per cell
DFT total energy: -18.33 eV for the cell shown
calculated volume: 15.3 A^3/atom
ΔH_f (0 K): -116 meV/atom

Entry from Alexandria: an optimized crystal structure of Tb5DySe6 (GGA-PBE).

Unit cell a=7.1010 b=7.1010 c=7.0714 alpha=99.65 beta=99.65 gamma=120.15
Closest atoms and distances in Å follow each position.
Element x y z (fractional)
Tb1 0.0000 0.0000 0.0000  6 Se 2.89-2.90
Tb2 0.1669 0.8331 0.5000  6 Se 2.89-2.90
Tb3 0.3325 0.6675 0.0000  6 Se 2.89-2.90
Tb4 0.6675 0.3325 0.0000  6 Se 2.89-2.90
Tb5 0.8331 0.1669 0.5000  6 Se 2.89-2.90
Dy1 0.5000 0.5000 0.5000  6 Se 2.88
Se1 0.0849 0.4168 0.2508  1 Dy 2.88, 5 Tb 2.89-2.90
Se2 0.2512 0.2512 0.7497  1 Dy 2.88, 5 Tb 2.90
Se3 0.4168 0.0849 0.2508  1 Dy 2.88, 5 Tb 2.89-2.90
Se4 0.5832 0.9151 0.7492  1 Dy 2.88, 5 Tb 2.89-2.90
Se5 0.7488 0.7488 0.2503  1 Dy 2.88, 5 Tb 2.90
Se6 0.9151 0.5832 0.7492  1 Dy 2.88, 5 Tb 2.89-2.90

size of the total moment: 0.00 μB per cell
DFT total energy: -69.91 eV for the cell shown
calculated volume: 24.2 A^3/atom
formation energy without anion corrections: -1.77 eV per atom

Entry from Alexandria: an optimized crystal structure of TbMg2Sc2 (GGA-PBE).

Unit cell a=3.5586 b=5.2582 c=13.5679 alpha=90.00 beta=97.53 gamma=90.00
Closest atoms and distances in Å follow each position.
Element x y z (fractional)
Tb1 0.1532 0.2500 0.3074  6 Mg 3.19-3.31, 4 Sc 3.42-3.47, 2 Tb 3.56
Tb2 0.8468 0.7500 0.6926  6 Mg 3.19-3.31, 4 Sc 3.42-3.47, 2 Tb 3.56
Mg1 0.3605 0.2500 0.7197  4 Sc 3.12-3.17, 4 Tb 3.19-3.20
Mg2 0.4496 0.7500 0.8998  6 Sc 3.11-3.18, 2 Tb 3.30-3.31
Mg3 0.5504 0.2500 0.1002  6 Sc 3.11-3.18, 2 Tb 3.30-3.31
Mg4 0.6395 0.7500 0.2803  4 Sc 3.12-3.17, 4 Tb 3.19-3.20
Sc1 0.0447 0.7500 0.0898  8 Mg 3.11-3.18
Sc2 0.2376 0.7500 0.4754  2 Mg 3.17, 4 Sc 3.24, 4 Tb 3.42-3.47
Sc3 0.7624 0.2500 0.5246  2 Mg 3.17, 4 Sc 3.24, 4 Tb 3.42-3.47
Sc4 0.9553 0.2500 0.9102  8 Mg 3.11-3.18

size of the total moment: 0.00 μB per cell
DFT total energy: -41.27 eV for the cell shown
calculated volume: 25.2 A^3/atom
ΔH_f (0 K): -31 meV/atom

Entry from Alexandria: an optimized crystal structure of SrPtPb (GGA-PBE).

Unit cell a=6.2284 b=6.2284 c=6.2284 alpha=123.50 beta=97.25 gamma=108.77
Closest atoms and distances in Å follow each position.
Element x y z (fractional)
Sr1 0.0000 0.0000 0.0000  4 Pt 3.11
Sr2 0.5000 0.0000 0.5000  4 Pt 3.11
Pt1 0.5000 0.0000 0.0000  2 Pb 2.76, 2 Pt 2.95
Pt2 0.5000 0.5000 0.5000  2 Pb 2.76, 2 Pt 2.95
Pb1 0.1785 0.4285 0.7500  2 Pt 2.76
Pb2 0.8215 0.5715 0.2500  2 Pt 2.76

size of the total moment: 0.00 μB per cell
DFT total energy: -26.17 eV for the cell shown
calculated volume: 29.3 A^3/atom
ΔH_f (0 K): -551 meV/atom

Entry from Alexandria: an optimized crystal structure of CaPrMgPb (GGA-PBE).

Unit cell a=5.5325 b=5.5325 c=5.5325 alpha=60.00 beta=60.00 gamma=60.00
Closest atoms and distances in Å follow each position.
Element x y z (fractional)
Ca1 0.0000 0.0000 0.0000  4 Mg 3.39, 4 Pb 3.39
Pr1 0.5000 0.5000 0.5000  4 Pb 3.39, 4 Mg 3.39
Mg1 0.2500 0.2500 0.2500  4 Pr 3.39, 4 Ca 3.39
Pb1 0.7500 0.7500 0.7500  4 Ca 3.39, 4 Pr 3.39

size of the total moment: 0.00 μB per cell
DFT total energy: -13.39 eV for the cell shown
calculated volume: 29.9 A^3/atom
ΔH_f (0 K): -327 meV/atom

Entry from Alexandria: an optimized crystal structure of HfCuRe3 (GGA-PBE).

Unit cell a=4.7464 b=4.7464 c=4.7464 alpha=90.00 beta=90.00 gamma=90.00
Closest atoms and distances in Å follow each position.
Element x y z (fractional)
Hf1 0.0000 0.0000 0.0000  6 Re 2.37
Cu1 0.5000 0.5000 0.5000  12 Re 3.36
Re1 0.0000 0.0000 0.5000  2 Hf 2.37
Re2 0.0000 0.5000 0.0000  2 Hf 2.37
Re3 0.5000 0.0000 0.0000  2 Hf 2.37

size of the total moment: 0.32 μB per cell
DFT total energy: -37.84 eV for the cell shown
calculated volume: 21.4 A^3/atom
ΔH_f (0 K): 2710 meV/atom